Entry 1:
Rb2Sn4HgAu3 | the Alexandria database | GGA-PBE | relaxed; VASP energy = -3.044 eV per atom; energy of formation from the pure elements = -0.236 eV/atom; density of states at the Fermi level = 6.09 states/eV per cell
1.0
4.995 0.000 0.000
0.000 4.995 0.000
0.000 0.000 11.402
Rb Sn Hg Au
2 4 1 3
direct
0.000 0.500 0.246
0.500 0.000 0.754
0.000 0.000 0.500
0.000 0.500 0.869
0.500 0.000 0.131
0.500 0.500 0.500
0.500 0.500 0.000
0.000 0.000 0.000
0.000 0.500 0.623
0.500 0.000 0.377

---

Entry 2:
Rb2Sn3HgAu4 | the Alexandria database | GGA-PBE | relaxed; VASP energy = -3.002 eV per atom; energy of formation from the pure elements = -0.267 eV/atom; density of states at the Fermi level = 3.59 states/eV per cell
1.0
5.072 0.000 0.000
0.000 5.072 0.000
0.000 0.000 10.863
Rb Sn Hg Au
2 3 1 4
direct
0.000 0.500 0.250
0.500 0.000 0.750
0.000 0.000 0.000
0.000 0.500 0.613
0.500 0.000 0.387
0.500 0.500 0.000
0.000 0.000 0.500
0.000 0.500 0.871
0.500 0.000 0.129
0.500 0.500 0.500